LaPr10Tm4 after structural relaxation, computed with PBE.

Calculated values
Energy ... -0.1548 hartree per atom
M_tot ... 0.02 μB/atom
E_form ... 0.49 eV/atom
DOS(E_F) ... 1.799 states/eV/atom

Unit cell a=6.977 b=9.691 c=9.691 alpha=82.56 beta=68.90 gamma=68.90
Positions (direct):
Pr: 0.530 0.840 0.587
Pr: 0.470 0.160 0.413
Pr: 0.043 0.840 0.587
Pr: 0.750 0.500 0.500
Tm: 0.324 0.244 0.109
Pr: 0.117 0.413 0.840
Pr: 0.250 0.500 0.500
La: 0.000 0.000 0.000
Tm: 0.676 0.756 0.891
Pr: 0.957 0.160 0.413
Pr: 0.371 0.587 0.160
Tm: 0.568 0.109 0.756
Pr: 0.629 0.413 0.840
Tm: 0.432 0.891 0.244
Pr: 0.883 0.587 0.160

La4Pr6Tm after structural relaxation, computed with PBE.

Calculated values
Energy ... -0.1672 hartree per atom
M_tot ... 0.00 μB/atom
E_form ... 0.26 eV/atom
DOS(E_F) ... 1.658 states/eV/atom
Distance to the lowest polymorph of the same formula ... 1.78 kJ/mol of atoms

Unit cell a=9.745 b=9.745 c=9.745 alpha=60.65 beta=138.17 gamma=138.17
Positions (direct):
Pr: 0.666 0.219 0.219
La: 0.371 0.366 0.366
Pr: 0.500 0.000 0.500
La: 0.000 0.634 0.005
Pr: 0.334 0.552 0.552
Tm: 0.000 0.000 0.000
La: 0.000 0.005 0.634
La: 0.629 0.995 0.995
Pr: 0.500 0.500 0.000
Pr: 0.000 0.448 0.781
Pr: 0.000 0.781 0.448

La6Pr12Tm after structural relaxation, computed with PBE.

Calculated values
Energy ... -0.1669 hartree per atom
M_tot ... 0.00 μB/atom
E_form ... 0.27 eV/atom
DOS(E_F) ... 1.676 states/eV/atom
Distance to the lowest polymorph of the same formula ... 15.44 kJ/mol of atoms

Unit cell a=10.114 b=10.114 c=10.114 alpha=112.17 beta=112.17 gamma=112.17
Positions (direct):
Pr: 0.270 0.910 0.270
Pr: 0.090 0.730 0.730
La: 0.733 0.480 0.733
La: 0.480 0.733 0.733
Pr: 0.730 0.730 0.090
Tm: 0.000 0.000 0.000
La: 0.267 0.520 0.267
Pr: 0.500 0.121 0.879
La: 0.520 0.267 0.267
La: 0.267 0.267 0.520
La: 0.733 0.733 0.480
Pr: 0.730 0.090 0.730
Pr: 0.500 0.879 0.121
Pr: 0.121 0.500 0.879
Pr: 0.879 0.500 0.121
Pr: 0.121 0.879 0.500
Pr: 0.879 0.121 0.500
Pr: 0.910 0.270 0.270
Pr: 0.270 0.270 0.910